No. 1
# Ce3Co3Ge2

A relaxed Ce3Co3Ge2 crystal (GGA-PBE, Alexandria via LeMat-Bulk).

Results
* size of the total moment: 0.078 μB per atom
* ΔE to the lowest computed polymorph: 0 meV/atom
* energy of formation from the pure elements: -507 meV per atom

Lattice parameters (Å, degrees): 7.6157 14.8687 5.4373 90.00 90.00 90.00
Atoms (fractional coordinates):
Ce 0.0504 0.1059 0.1789
Ce 0.0504 0.3941 0.1789
Ce 0.1494 0.2500 0.6365
Ce 0.3506 0.7500 0.1365
Ce 0.4496 0.6059 0.6789
Ce 0.4496 0.8941 0.6789
Ce 0.5504 0.1059 0.3211
Ce 0.5504 0.3941 0.3211
Ce 0.6494 0.2500 0.8635
Ce 0.8506 0.7500 0.3635
Ce 0.9496 0.6059 0.8211
Ce 0.9496 0.8941 0.8211
Co 0.1496 0.0399 0.5557
Co 0.1496 0.4601 0.5557
Co 0.1923 0.7500 0.5330
Co 0.3077 0.2500 0.0330
Co 0.3504 0.5399 0.0557
Co 0.3504 0.9601 0.0557
Co 0.6496 0.0399 0.9443
Co 0.6496 0.4601 0.9443
Co 0.6923 0.7500 0.9670
Co 0.8077 0.2500 0.4670
Co 0.8504 0.5399 0.4443
Co 0.8504 0.9601 0.4443
Ge 0.1336 0.5984 0.3236
Ge 0.1336 0.9016 0.3236
Ge 0.3664 0.0984 0.8236
Ge 0.3664 0.4016 0.8236
Ge 0.6336 0.5984 0.1764
Ge 0.6336 0.9016 0.1764
Ge 0.8664 0.0984 0.6764
Ge 0.8664 0.4016 0.6764

---

No. 2
# Sr2Cd2F7

A relaxed Sr2Cd2F7 crystal (GGA-PBE, Alexandria via LeMat-Bulk).

Results
* size of the total moment: 0.000 μB per atom
* formation energy (no corrections): -31.2 eV/f.u.

Lattice parameters (Å, degrees): 5.8423 5.8423 5.6860 90.00 90.00 90.52
Atoms (fractional coordinates):
Sr 0.2398 0.2398 0.0000
Sr 0.7602 0.7602 0.0000
Cd 0.2311 0.7689 0.5000
Cd 0.7689 0.2311 0.5000
F 0.0000 0.0000 0.2506
F 0.0000 0.0000 0.7494
F 0.0000 0.5000 0.2455
F 0.0000 0.5000 0.7545
F 0.5000 0.0000 0.2455
F 0.5000 0.0000 0.7545
F 0.5000 0.5000 0.5000

---

No. 3
# Nb4SnS

A relaxed Nb4SnS crystal (GGA-PBE, Alexandria via LeMat-Bulk).

Results
* size of the total moment: 0.000 μB per atom
* formation energy (no corrections): -1.0 eV/f.u.

Lattice parameters (Å, degrees): 6.9856 6.9856 5.8830 109.26 109.26 107.46
Atoms (fractional coordinates):
Nb 0.0015 0.4041 0.7436
Nb 0.1106 0.2108 0.2445
Nb 0.2108 0.1106 0.7445
Nb 0.4041 0.0015 0.2436
Nb 0.5959 0.9985 0.7564
Nb 0.7892 0.8894 0.2555
Nb 0.8894 0.7892 0.7555
Nb 0.9985 0.5959 0.2564
Sn 0.4284 0.5716 0.2500
Sn 0.5716 0.4284 0.7500
S 0.2427 0.7573 0.7500
S 0.7573 0.2427 0.2500

---

No. 4
# Li2HfSn

A relaxed Li2HfSn crystal (GGA-PBE, Alexandria via LeMat-Bulk).

Results
* size of the total moment: 0.120 μB per atom
* energy of formation from the pure elements: 73 meV per atom

Lattice parameters (Å, degrees): 11.0448 11.0448 11.0448 158.80 158.80 30.15
Atoms (fractional coordinates):
Li 0.1110 0.6250 0.9860
Li 0.3750 0.3610 0.4860
Li 0.6390 0.1250 0.0140
Li 0.8750 0.8890 0.5140
Hf 0.2500 0.7500 0.5000
Hf 0.5000 0.5000 0.0000
Sn 0.0000 0.0000 0.0000
Sn 0.7500 0.2500 0.5000

---

No. 5
# LaYGa2Ir2

A relaxed LaYGa2Ir2 crystal (GGA-PBE, Alexandria via LeMat-Bulk).

Results
* size of the total moment: 0.000 μB per atom
* energy of formation from the pure elements: -778 meV per atom

Lattice parameters (Å, degrees): 4.4073 4.4073 7.5249 90.00 90.00 120.00
Atoms (fractional coordinates):
La 0.0000 0.0000 0.0000
Y 0.0000 0.0000 0.5000
Ga 0.3333 0.6667 0.2747
Ga 0.6667 0.3333 0.7253
Ir 0.3333 0.6667 0.7312
Ir 0.6667 0.3333 0.2688

---

No. 6
# Pm3SmEr2Tm6

A relaxed Pm3SmEr2Tm6 crystal (GGA-PBE, Alexandria via LeMat-Bulk).

Results
* size of the total moment: 0.000 μB per atom
* energy of formation from the pure elements: 22 meV per atom

Lattice parameters (Å, degrees): 6.1423 6.1423 11.6778 95.02 95.02 119.97
Atoms (fractional coordinates):
Pm 0.0000 0.0000 0.0000
Pm 0.3331 0.6669 0.0000
Pm 0.6669 0.3331 0.0000
Sm 0.5000 0.5000 0.5000
Er 0.1668 0.8332 0.5000
Er 0.8332 0.1668 0.5000
Tm 0.0837 0.4174 0.2524
Tm 0.2487 0.2487 0.7475
Tm 0.4174 0.0837 0.2524
Tm 0.5826 0.9163 0.7476
Tm 0.7513 0.7513 0.2525
Tm 0.9163 0.5826 0.7476

---

No. 7
# AcSc2S

A relaxed AcSc2S crystal (GGA-PBE, Alexandria via LeMat-Bulk).

Results
* size of the total moment: 0.000 μB per atom
* formation energy (no corrections): -2.8 eV/f.u.

Lattice parameters (Å, degrees): 10.0068 10.0068 10.0068 20.70 20.70 20.70
Atoms (fractional coordinates):
Ac 0.0000 0.0000 0.0000
Sc 0.1174 0.1174 0.1174
Sc 0.8826 0.8826 0.8826
S 0.5000 0.5000 0.5000

---

No. 8
# FeRuBr2

A relaxed FeRuBr2 crystal (GGA-PBE, Alexandria via LeMat-Bulk).

Results
* size of the total moment: 0.245 μB per atom
* formation energy (no corrections): 2.7 eV/f.u.
* ΔE to the lowest computed polymorph: 527 meV/atom

Lattice parameters (Å, degrees): 7.9593 7.9593 7.9593 23.90 23.90 23.90
Atoms (fractional coordinates):
Fe 0.0000 0.0000 0.0000
Ru 0.5000 0.5000 0.5000
Br 0.2559 0.2559 0.2559
Br 0.7441 0.7441 0.7441

---

No. 9
# CaCuPtO5

A relaxed CaCuPtO5 crystal (GGA-PBE, Alexandria via LeMat-Bulk).

Results
* size of the total moment: 0.065 μB per atom
* formation energy (no corrections): -8.3 eV/f.u.

Lattice parameters (Å, degrees): 5.6657 5.6657 7.2551 101.40 101.40 114.18
Atoms (fractional coordinates):
Ca 0.1687 0.8313 0.7500
Ca 0.8313 0.1687 0.2500
Cu 0.1771 0.8229 0.2500
Cu 0.8229 0.1771 0.7500
Pt 0.5000 0.5000 0.0000
Pt 0.5000 0.5000 0.5000
O 0.1249 0.1996 0.9338
O 0.1996 0.1249 0.4338
O 0.2211 0.6213 0.4153
O 0.3787 0.7789 0.0847
O 0.4163 0.5837 0.7500
O 0.5837 0.4163 0.2500
O 0.6213 0.2211 0.9153
O 0.7789 0.3787 0.5847
O 0.8004 0.8751 0.5662
O 0.8751 0.8004 0.0662

---

No. 10
# RbCaBr

A relaxed RbCaBr crystal (GGA-PBE, Alexandria via LeMat-Bulk).

Results
* size of the total moment: 0.034 μB per atom
* formation energy (no corrections): -2.7 eV/f.u.
* ΔE to the lowest computed polymorph: 28 meV/atom

Lattice parameters (Å, degrees): 4.2474 4.2474 8.2120 90.00 90.00 120.00
Atoms (fractional coordinates):
Rb 0.0000 0.0000 0.0000
Ca 0.6667 0.3333 0.4415
Br 0.3333 0.6667 0.6841

---

No. 11
# YNiPb

A relaxed YNiPb crystal (GGA-PBE, Alexandria via LeMat-Bulk).

Results
* size of the total moment: 0.000 μB per atom
* energy of formation from the pure elements: -342 meV per atom

Lattice parameters (Å, degrees): 4.6154 4.6154 7.8414 107.18 107.18 60.07
Atoms (fractional coordinates):
Y 0.2389 0.2389 0.2167
Y 0.7611 0.7611 0.7833
Ni 0.3651 0.3651 0.5958
Ni 0.6349 0.6349 0.4042
Pb 0.0000 0.0000 0.5000
Pb 0.5000 0.5000 0.0000

---

No. 12
# ErNi5Ir2

A relaxed ErNi5Ir2 crystal (GGA-PBE, Alexandria via LeMat-Bulk).

Results
* size of the total moment: 0.003 μB per atom
* energy of formation from the pure elements: -10 meV per atom

Lattice parameters (Å, degrees): 6.0801 6.0801 6.0801 144.71 112.91 78.13
Atoms (fractional coordinates):
Er 0.0000 0.0000 0.0000
Ni 0.1906 0.3710 0.8196
Ni 0.4487 0.6290 0.8196
Ni 0.5000 0.0000 0.5000
Ni 0.5513 0.3710 0.1804
Ni 0.8094 0.6290 0.1804
Ir 0.2424 0.7424 0.5000
Ir 0.7576 0.2576 0.5000